This record from Alexandria describes a relaxed LiAcAg crystal. The functional is PBE-GGA.

Cell: 4.3601 4.3601 8.5434 Å, 90.00 90.00 90.00°
Last column: nearest neighbours and their distance in Å.
Element x y z (fractional)
Li: 0.2500 0.7500 0.0000  4 Ag 2.81, 4 Li 3.08
Li: 0.7500 0.2500 0.0000  4 Ag 2.81, 4 Li 3.08
Ac: 0.2500 0.2500 0.3509  4 Ag 3.32, 4 Li 3.71
Ac: 0.7500 0.7500 0.6491  4 Ag 3.32, 4 Li 3.71
Ag: 0.2500 0.2500 0.7918  4 Li 2.81
Ag: 0.7500 0.7500 0.2082  4 Li 2.81

Properties
Volume in Å³/cell: 162.4
Offset from the most stable computed form in eV/f.u.: 0.00
Total DFT energy (no corrections) in eV per cell: -18.8
Size of the total moment in Bohr magnetons per cell: 0.00
Calculated density in g/cm³: 6.99

This record from Alexandria describes a relaxed PmTmSn2 crystal. The functional is PBE-GGA.

Cell: 4.3303 6.1747 6.1747 Å, 43.04 90.00 90.00°
Last column: nearest neighbours and their distance in Å.
Element x y z (fractional)
Pm: 0.0000 0.0000 0.0000  7 Sn 3.13-3.46
Tm: 0.5000 0.2684 0.2684  7 Sn 3.14-3.45
Sn: 0.0000 0.7274 0.7274  2 Sn 3.04, 1 Pm 3.13, 4 Tm 3.17
Sn: 0.5000 0.5414 0.5414  2 Sn 3.04, 1 Tm 3.14, 4 Pm 3.17

Properties
Volume in Å³/cell: 112.7
Total DFT energy (no corrections) in eV per cell: -20.1
Size of the total moment in Bohr magnetons per cell: 0.00
Calculated density in g/cm³: 8.12

This record from Alexandria describes a relaxed AcTlHg17 crystal. The functional is PBE-GGA.

Cell: 8.3385 8.3385 8.3385 Å, 75.10 75.10 75.10°
Last column: nearest neighbours and their distance in Å.
Element x y z (fractional)
Ac: 0.0000 0.0000 0.0000  13 Hg 3.40-3.75
Tl: 0.6703 0.6703 0.6703  15 Hg 3.52-3.93
Hg: 0.0127 0.3239 0.6292  6 Hg 3.10-3.30
Hg: 0.0127 0.6292 0.3239  6 Hg 3.10-3.30
Hg: 0.0867 0.7260 0.7260  6 Hg 3.05-3.30
Hg: 0.2112 0.2112 0.2112  4 Hg 2.99-3.00
Hg: 0.3239 0.0127 0.6292  6 Hg 3.10-3.30
Hg: 0.3239 0.6292 0.0127  6 Hg 3.10-3.30
Hg: 0.3794 0.3794 0.3794  10 Hg 2.99-3.30
Hg: 0.3878 0.3878 0.7445  5 Hg 3.08-3.26
Hg: 0.3878 0.7445 0.3878  6 Hg 3.08-3.45
Hg: 0.4177 0.9783 0.9783  5 Hg 3.00-3.13
Hg: 0.6292 0.0127 0.3239  6 Hg 3.10-3.30
Hg: 0.6292 0.3239 0.0127  6 Hg 3.10-3.30
Hg: 0.7260 0.0867 0.7260  6 Hg 3.05-3.30
Hg: 0.7260 0.7260 0.0867  6 Hg 3.05-3.30
Hg: 0.7445 0.3878 0.3878  6 Hg 3.08-3.45
Hg: 0.9783 0.4177 0.9783  5 Hg 3.00-3.13
Hg: 0.9783 0.9783 0.4177  5 Hg 3.00-3.13

Properties
Volume in Å³/cell: 530.0
Total DFT energy (no corrections) in eV per cell: -13.1
Size of the total moment in Bohr magnetons per cell: 0.00
Calculated density in g/cm³: 12.04

This record from Alexandria describes a relaxed La6Ni2Ge crystal. The functional is PBE-GGA.

Cell: 8.7811 8.7811 8.7811 Å, 116.50 106.43 105.72°
Last column: nearest neighbours and their distance in Å.
Element x y z (fractional)
La: 0.0188 0.2168 0.8020  1 Ni 2.90, 1 Ge 3.10
La: 0.1769 0.2925 0.4694  2 Ni 2.98, 1 Ge 3.28
La: 0.1769 0.7075 0.8844  2 Ni 2.98, 1 Ge 3.28
La: 0.3294 0.0266 0.6972  3 Ni 2.84-2.93
La: 0.3294 0.6321 0.3028  3 Ni 2.84-2.93
La: 0.4147 0.2168 0.1980  1 Ni 2.90, 1 Ge 3.10
La: 0.5853 0.7832 0.8020  1 Ni 2.90, 1 Ge 3.10
La: 0.6706 0.3679 0.6972  3 Ni 2.84-2.93
La: 0.6706 0.9734 0.3028  3 Ni 2.84-2.93
La: 0.8231 0.2925 0.1156  2 Ni 2.98, 1 Ge 3.28
La: 0.8231 0.7075 0.5306  2 Ni 2.98, 1 Ge 3.28
La: 0.9812 0.7832 0.1980  1 Ni 2.90, 1 Ge 3.10
Ni: 0.1240 0.6240 0.5000  1 Ni 2.63, 2 La 2.84
Ni: 0.3667 0.0000 0.3667  1 Ni 2.80, 6 La 2.90-2.93
Ni: 0.6333 0.0000 0.6333  1 Ni 2.80, 6 La 2.90-2.93
Ni: 0.8760 0.3760 0.5000  1 Ni 2.63, 2 La 2.84
Ge: 0.0000 0.0000 0.0000  8 La 3.10-3.28
Ge: 0.5000 0.5000 0.0000  8 La 3.33-3.65

Properties
Volume in Å³/cell: 515.2
Total DFT energy (no corrections) in eV per cell: -97.3
Size of the total moment in Bohr magnetons per cell: 0.00
Calculated density in g/cm³: 6.60

This record from Alexandria describes a relaxed K3Te4Au2 crystal. The functional is PBE-GGA.

Cell: 6.8812 6.8812 9.5727 Å, 104.90 104.90 43.85°
Last column: nearest neighbours and their distance in Å.
Element x y z (fractional)
K: 0.0000 0.0000 0.0000  8 Te 3.69-3.76
K: 0.3888 0.3888 0.3281  6 Te 3.48-3.85, 4 Au 3.60-3.86, 1 K 3.70
K: 0.6112 0.6112 0.6719  6 Te 3.48-3.85, 4 Au 3.60-3.86, 1 K 3.70
Te: 0.1220 0.1220 0.3980  3 Au 2.85-2.98
Te: 0.2824 0.2824 0.9515  1 Au 2.83, 2 Te 2.93
Te: 0.7176 0.7176 0.0485  1 Au 2.83, 2 Te 2.93
Te: 0.8780 0.8780 0.6020  3 Au 2.85-2.98
Au: 0.3077 0.3077 0.6674  4 Te 2.83-2.98
Au: 0.6923 0.6923 0.3326  4 Te 2.83-2.98

Properties
Volume in Å³/cell: 301.7
Total DFT energy (no corrections) in eV per cell: -27.3
Size of the total moment in Bohr magnetons per cell: 0.00
Calculated density in g/cm³: 5.62
Formation energy from raw total energies in eV/atom: -0.541

This record from Alexandria describes a relaxed Y5Al4Ag crystal. The functional is PBE-GGA.

Cell: 3.5835 3.5835 18.4209 Å, 90.00 90.00 90.00°
Last column: nearest neighbours and their distance in Å.
Element x y z (fractional)
Y: 0.0000 0.0000 0.0000  8 Al 3.12
Y: 0.0000 0.0000 0.1976  8 Al 3.12-3.14
Y: 0.0000 0.0000 0.3969  4 Al 3.12, 4 Ag 3.17
Y: 0.0000 0.0000 0.6031  4 Al 3.12, 4 Ag 3.17
Y: 0.0000 0.0000 0.8024  8 Al 3.12-3.14
Al: 0.5000 0.5000 0.0987  8 Y 3.12
Al: 0.5000 0.5000 0.2982  8 Y 3.12-3.14
Al: 0.5000 0.5000 0.7018  8 Y 3.12-3.14
Al: 0.5000 0.5000 0.9013  8 Y 3.12
Ag: 0.5000 0.5000 0.5000  8 Y 3.17

Properties
Volume in Å³/cell: 236.6
Total DFT energy (no corrections) in eV per cell: -54.1
Size of the total moment in Bohr magnetons per cell: 0.00
Calculated density in g/cm³: 4.64

This record from Alexandria describes a relaxed RbSn4Au6 crystal. The functional is PBE-GGA.

Cell: 7.8056 7.8056 5.0160 Å, 90.00 90.00 120.00°
Last column: nearest neighbours and their distance in Å.
Element x y z (fractional)
Rb: 0.0000 0.0000 0.0000  6 Sn 3.71, 12 Au 3.79-4.04
Sn: 0.3333 0.6667 0.0000  9 Au 2.82-3.10
Sn: 0.3958 0.2712 0.5000  5 Au 2.78-3.04
Sn: 0.7288 0.1247 0.5000  5 Au 2.78-3.04
Sn: 0.8753 0.6042 0.5000  5 Au 2.78-3.04
Au: 0.1319 0.4122 0.5000  5 Sn 2.78-3.10, 2 Au 3.10
Au: 0.2803 0.8681 0.5000  5 Sn 2.78-3.10, 2 Au 3.10
Au: 0.5292 0.0840 0.0000  3 Sn 2.82-2.89, 4 Au 2.92-3.10
Au: 0.5548 0.4708 0.0000  3 Sn 2.82-2.89, 4 Au 2.92-3.10
Au: 0.5878 0.7197 0.5000  5 Sn 2.78-3.10, 2 Au 3.10
Au: 0.9160 0.4452 0.0000  3 Sn 2.82-2.89, 4 Au 2.92-3.10

Properties
Volume in Å³/cell: 264.7
Offset from the most stable computed form in eV/f.u.: 0.00
Total DFT energy (no corrections) in eV per cell: -38.6
Size of the total moment in Bohr magnetons per cell: 0.00
Calculated density in g/cm³: 10.93

This record from Alexandria describes a relaxed AcPr2Au8 crystal. The functional is PBE-GGA.

Cell: 8.8136 8.8136 5.2681 Å, 107.29 107.29 124.77°
Last column: nearest neighbours and their distance in Å.
Element x y z (fractional)
Ac: 0.0000 0.0000 0.0000  6 Au 3.19-3.40
Pr: 0.3146 0.6854 0.5000  12 Au 3.15-3.26
Pr: 0.6854 0.3146 0.5000  12 Au 3.15-3.26
Au: 0.0938 0.3581 0.7278  4 Au 2.83-3.08
Au: 0.2044 0.7956 0.0000  6 Au 3.08-3.21, 4 Pr 3.15, 1 Ac 3.19
Au: 0.3581 0.0938 0.7278  4 Au 2.83-3.08
Au: 0.4993 0.4993 0.7505  2 Au 2.62-2.65
Au: 0.5007 0.5007 0.2495  2 Au 2.62-2.65
Au: 0.6419 0.9062 0.2722  4 Au 2.83-3.08
Au: 0.7956 0.2044 0.0000  6 Au 3.08-3.21, 4 Pr 3.15, 1 Ac 3.19
Au: 0.9062 0.6419 0.2722  4 Au 2.83-3.08

Properties
Volume in Å³/cell: 258.0
Total DFT energy (no corrections) in eV per cell: -47.8
Size of the total moment in Bohr magnetons per cell: 0.00
Calculated density in g/cm³: 13.42

This record from Alexandria describes a relaxed Sc6In2CO crystal. The functional is PBE-GGA.

Cell: 6.3736 6.3736 6.3736 Å, 60.00 60.00 60.00°
Last column: nearest neighbours and their distance in Å.
Element x y z (fractional)
Sc: 0.2482 0.2482 0.7518  1 C 2.24, 1 O 2.27
Sc: 0.2482 0.7518 0.2482  1 C 2.24, 1 O 2.27
Sc: 0.2482 0.7518 0.7518  1 C 2.24, 1 O 2.27
Sc: 0.7518 0.2482 0.2482  1 C 2.24, 1 O 2.27
Sc: 0.7518 0.2482 0.7518  1 C 2.24, 1 O 2.27
Sc: 0.7518 0.7518 0.2482  1 C 2.24, 1 O 2.27
In: 0.2500 0.2500 0.2500  12 Sc 3.19
In: 0.7500 0.7500 0.7500  12 Sc 3.19
C: 0.0000 0.0000 0.0000  6 Sc 2.24
O: 0.5000 0.5000 0.5000  6 Sc 2.27

Properties
Volume in Å³/cell: 183.1
Total DFT energy (no corrections) in eV per cell: -68.8
Size of the total moment in Bohr magnetons per cell: 0.00
Calculated density in g/cm³: 4.78
Formation energy from raw total energies in eV/atom: -1.112